Record 1
The following is a PBE calculation of a geometry-optimized GaRh2I structure, from the Alexandria database.

Unit cell a=4.588 b=4.588 c=4.588 alpha=60.00 beta=60.00 gamma=60.00
Element x y z (fractional)
Ga: 0.000 0.000 0.000
Rh: 0.250 0.250 0.250
Rh: 0.750 0.750 0.750
I: 0.500 0.500 0.500

Output
Energy relative to the elements, uncorrected = 0.242 eV per atom
ΔE to the lowest computed polymorph = 34 meV/atom



Record 2
The following is a PBE calculation of a geometry-optimized B5C7 structure, from the Alexandria database.

Unit cell a=4.660 b=4.668 c=4.691 alpha=103.91 beta=103.21 gamma=118.63
Element x y z (fractional)
C: 0.863 0.872 0.632
C: 0.549 0.238 0.613
C: 0.000 0.008 0.995
C: 0.515 0.504 0.496
C: 0.366 0.370 0.134
C: 0.720 0.037 0.108
C: 0.338 0.643 0.018
B: 0.755 0.092 0.464
B: 0.621 0.289 0.990
B: 0.164 0.853 0.523
B: 0.063 0.730 0.101
B: 0.296 0.616 0.674

Output
ΔE to the lowest computed polymorph = 159 meV/atom
Formation energy from the elements = 0.42 eV/atom



Record 3
The following is a PBE calculation of a geometry-optimized TiNi6Pt structure, from the Alexandria database.

Unit cell a=6.291 b=6.291 c=10.296 alpha=90.00 beta=90.00 gamma=109.71
Each line ends with the local moment (μB).
Element x y z (fractional)
Pt: 0.245 0.755 0.000  0.21
Pt: 0.500 0.500 0.750  0.15
Pt: 0.755 0.245 0.000  0.21
Pt: 0.500 0.500 0.250  0.15
Ni: 0.374 0.123 0.377  0.10
Ni: 0.123 0.374 0.377  0.10
Ni: 0.373 0.125 0.128  0.36
Ni: 0.374 0.123 0.623  0.10
Ni: 0.500 0.500 0.000  0.52
Ni: 0.125 0.373 0.128  0.36
Ni: 0.627 0.875 0.128  0.36
Ni: 0.500 0.500 0.500  0.11
Ni: 0.373 0.125 0.872  0.36
Ni: 0.877 0.626 0.623  0.10
Ni: 0.627 0.875 0.872  0.36
Ni: 0.000 0.000 0.000  0.34
Ni: 0.753 0.247 0.745  0.17
Ni: 0.247 0.753 0.745  0.17
Ni: 0.753 0.247 0.255  0.17
Ni: 0.247 0.753 0.255  0.17
Ni: 0.626 0.877 0.623  0.10
Ni: 0.123 0.374 0.623  0.10
Ni: 0.875 0.627 0.128  0.36
Ni: 0.875 0.627 0.872  0.36
Ni: 0.626 0.877 0.377  0.10
Ni: 0.125 0.373 0.872  0.36
Ni: 0.000 0.000 0.500  0.03
Ni: 0.877 0.626 0.377  0.10
Ti: 0.000 0.000 0.748  -0.12
Ti: 0.753 0.247 0.500  -0.06
Ti: 0.247 0.753 0.500  -0.06
Ti: 0.000 0.000 0.252  -0.12

Output
Formation energy from the elements = -0.25 eV/atom



Copy entry 2 word for word.
The following is a PBE calculation of a geometry-optimized B5C7 structure, from the Alexandria database.

Unit cell a=4.660 b=4.668 c=4.691 alpha=103.91 beta=103.21 gamma=118.63
Element x y z (fractional)
C: 0.863 0.872 0.632
C: 0.549 0.238 0.613
C: 0.000 0.008 0.995
C: 0.515 0.504 0.496
C: 0.366 0.370 0.134
C: 0.720 0.037 0.108
C: 0.338 0.643 0.018
B: 0.755 0.092 0.464
B: 0.621 0.289 0.990
B: 0.164 0.853 0.523
B: 0.063 0.730 0.101
B: 0.296 0.616 0.674

Output
ΔE to the lowest computed polymorph = 159 meV/atom
Formation energy from the elements = 0.42 eV/atom